Record 1
The following is a DFT calculation (PBE) of an optimized crystal structure of AcInAu.

The calculation puts the magnetic moment at 0.0 μB/cell. Its calculated formation energy is -719 meV per atom.

It has space group P-62m (No. 189), with a = 8.0558 Å, b = 8.0558 Å, c = 4.4514 Å, α = 90.00°, β = 90.00° and γ = 120.00°. The inequivalent atoms are Ac at (0.0000, 0.5848, 0.0000), In at (0.0000, 0.2410, 0.5000), Au at (0.0000, 0.0000, 0.0000) and Au at (0.3333, 0.6667, 0.5000).

---

Record 2
The following is a DFT calculation (PBE) of an optimized crystal structure of LiMgSn2.

The calculation puts the magnetic moment at 0.0 μB/cell. Its calculated formation energy is -209 meV per atom.

It has space group P4/mmm (No. 123), with a = 3.498 Å, b = 3.498 Å, c = 7.377 Å, α = 90.00°, β = 90.00° and γ = 90.00°. The inequivalent atoms are Li at (0.000, 0.000, 0.000), Mg at (0.000, 0.000, 0.500) and Sn at (0.500, 0.500, 0.240).

---

Record 3
The following is a DFT calculation (PBE) of an optimized crystal structure of Ca3Nd4HoSe8.

The calculation puts the magnetic moment at 0.0 μB/cell. The calculation puts the uncorrected formation energy at -1.874 eV/atom.

It has space group R-3m (No. 166, hexagonal axes), with a = 8.3287 Å, b = 8.3287 Å, c = 20.8384 Å, α = 90.00°, β = 90.00° and γ = 120.00°. The inequivalent atoms are Ca at (0.0000, 0.5000, 0.0000), Nd at (0.0000, 0.0000, 0.5000), Nd at (0.0000, 0.5000, 0.5000), Ho at (0.0000, 0.0000, 0.0000), Se at (0.0000, 0.0000, 0.2524) and Se at (0.0032, 0.5016, 0.7462).

---

Record 4
The following is a DFT calculation (PBE) of an optimized crystal structure of HfAlIr.

The calculation puts the magnetic moment at 0.0 μB/cell. Its calculated formation energy is -925 meV per atom.

It has space group Cmcm (No. 63), with a = 4.192 Å, b = 9.388 Å, c = 5.250 Å, α = 90.00°, β = 90.00° and γ = 90.00°. The inequivalent atoms are Hf at (0.000, 0.210, 0.250), Al at (0.000, 0.500, 0.000) and Ir at (0.000, 0.097, 0.750).